! Pu2BeF8 (PBE, optimized geometry); values from VASP
! ρ ... 6.83 g/cm3
! Energy relative to the elements, uncorrected ... -3.379 eV per atom
! Total magnetization ... 10.00 μB/f.u.
&SYSTEM
  ibrav = 0, nat = 11, ntyp = 3
/
ATOMIC_SPECIES
Pu 244.00 Pu.upf
Be 9.01 Be.upf
F 19.00 F.upf
CELL_PARAMETERS angstrom
4.7833 -3.5583 0.0000
4.7833 3.5583 0.0000
-3.4964 0.0000 4.6386
ATOMIC_POSITIONS angstrom
Pu 1.6959 0.0000 0.6883
Pu 4.3742 0.0000 3.9503
Be 4.7833 0.0000 0.0000
F -0.5372 0.0000 1.2761
F 0.0356 1.2374 4.2074
F 1.9369 0.0000 3.0397
F 6.0346 1.2374 0.4311
F 0.0356 -1.2374 4.2074
F 4.1333 0.0000 1.5989
F 6.0346 -1.2374 0.4311
F 6.6074 0.0000 3.3625